No. 1
Compound: ThCd2Hg
Source: Alexandria
Functional: PBE
Structure: optimized geometry

Values from the calculation:
For the energy above the most stable polymorph in this dataset, the calculation gives 123 meV/atom. The calculation puts the formation energy at -0.05 eV/atom.

abc: 5.2135 5.2135 5.2135
angles: 60.00 60.00 60.00
With the nearest neighbours (Å) after each atom.
Positions (direct):
Th 0.0000 0.0000 0.0000  8 Cd 3.19
Cd 0.2500 0.2500 0.2500  4 Hg 3.19, 4 Th 3.19
Cd 0.7500 0.7500 0.7500  4 Th 3.19, 4 Hg 3.19
Hg 0.5000 0.5000 0.5000  8 Cd 3.19

No. 2
Compound: Gd4Sn2F
Source: Alexandria
Functional: PBE
Structure: optimized geometry

Values from the calculation:
The value obtained for the formation energy (no corrections) is -109.4 kJ per mole of atoms.

abc: 9.3539 9.3539 9.3539
angles: 151.14 151.14 41.27
With the nearest neighbours (Å) after each atom.
Positions (direct):
Gd 0.0000 0.5000 0.5000  2 F 2.33
Gd 0.1852 0.1852 0.0000  5 Sn 3.20-3.43, 1 F 3.24
Gd 0.5000 0.0000 0.5000  2 F 2.33
Gd 0.8148 0.8148 0.0000  5 Sn 3.20-3.43, 1 F 3.24
Sn 0.3682 0.3682 0.0000  9 Gd 3.20-3.43
Sn 0.6318 0.6318 0.0000  9 Gd 3.20-3.43
F 0.0000 0.0000 0.0000  4 Gd 2.33

No. 3
Compound: CaNdSmGd
Source: Alexandria
Functional: PBE
Structure: optimized geometry

Values from the calculation:
The calculation puts the formation energy at 0.13 eV/atom.

abc: 5.8393 5.8393 5.8393
angles: 60.00 60.00 60.00
With the nearest neighbours (Å) after each atom.
Positions (direct):
Ca 0.0000 0.0000 0.0000  4 Nd 3.58, 4 Sm 3.58
Nd 0.7500 0.7500 0.7500  4 Gd 3.58, 4 Ca 3.58
Sm 0.2500 0.2500 0.2500  4 Gd 3.58, 4 Ca 3.58
Gd 0.5000 0.5000 0.5000  4 Nd 3.58, 4 Sm 3.58

No. 4
Compound: Sr8AgRhAu2
Source: Alexandria
Functional: PBE
Structure: optimized geometry

Values from the calculation:
The calculation puts the formation energy at -0.38 eV/atom.

abc: 7.2550 9.1200 7.4573
angles: 90.00 90.41 90.00
With the nearest neighbours (Å) after each atom.
Positions (direct):
Sr 0.2345 0.0000 0.3396  2 Au 3.13, 1 Ag 3.19
Sr 0.2541 0.5000 0.3200  1 Rh 2.99, 2 Au 3.19
Sr 0.2664 0.2682 0.8360  1 Rh 2.97, 1 Au 3.16, 1 Ag 3.21
Sr 0.2664 0.7318 0.8360  1 Rh 2.97, 1 Au 3.16, 1 Ag 3.21
Sr 0.7336 0.2682 0.1640  1 Rh 2.97, 1 Au 3.16, 1 Ag 3.21
Sr 0.7336 0.7318 0.1640  1 Rh 2.97, 1 Au 3.16, 1 Ag 3.21
Sr 0.7459 0.5000 0.6800  1 Rh 2.99, 2 Au 3.19
Sr 0.7655 0.0000 0.6604  2 Au 3.13, 1 Ag 3.19
Ag 0.5000 0.0000 0.0000  6 Sr 3.19-3.21
Rh 0.5000 0.5000 0.0000  6 Sr 2.97-2.99
Au 0.0000 0.2565 0.5000  6 Sr 3.13-3.19
Au 0.0000 0.7435 0.5000  6 Sr 3.13-3.19

No. 5
Compound: CaNbCr
Source: Alexandria
Functional: PBE
Structure: optimized geometry

Values from the calculation:
For the energy above the most stable polymorph in this dataset, the calculation gives 226 meV/atom. The calculation puts the formation energy at 0.55 eV/atom.

abc: 6.0955 6.0955 4.8185
angles: 94.75 94.75 44.85
With the nearest neighbours (Å) after each atom.
Positions (direct):
Ca 0.2447 0.2447 0.2384  5 Nb 3.24-3.50, 5 Cr 3.27-3.34, 4 Ca 3.28-3.42
Ca 0.7553 0.7553 0.7616  5 Nb 3.24-3.50, 5 Cr 3.27-3.34, 4 Ca 3.28-3.42
Nb 0.4547 0.4547 0.7450  2 Cr 2.57, 2 Nb 2.57-2.65
Nb 0.5453 0.5453 0.2550  2 Cr 2.57, 2 Nb 2.57-2.65
Cr 0.0478 0.0478 0.6975  1 Cr 2.10
Cr 0.9522 0.9522 0.3025  1 Cr 2.10

No. 6
Compound: CaBrO2
Source: Alexandria
Functional: PBE
Structure: optimized geometry

Values from the calculation:
The value obtained for the formation energy (no corrections) is -122.4 kJ per mole of atoms. For the energy above the most stable polymorph in this dataset, the calculation gives 189 meV/atom.

abc: 6.7261 6.9045 5.6422
angles: 90.00 90.00 90.00
With the nearest neighbours (Å) after each atom.
Positions (direct):
Ca 0.2330 0.1336 0.0000  5 O 2.33-2.54
Ca 0.2670 0.6336 0.5000  5 O 2.33-2.54
Ca 0.7330 0.3664 0.0000  5 O 2.33-2.54
Ca 0.7670 0.8664 0.5000  5 O 2.33-2.54
Br 0.0216 0.7203 0.0081  2 O 1.96-2.01
Br 0.4784 0.2203 0.5081  2 O 1.96-2.01
Br 0.5216 0.7797 0.0081  2 O 1.96-2.01
Br 0.9784 0.2797 0.5081  2 O 1.96-2.01
O 0.0628 0.3828 0.1906  1 Br 2.01
O 0.0798 0.8875 0.2794  1 Br 1.96
O 0.4202 0.3875 0.7794  1 Br 1.96
O 0.4372 0.8828 0.6906  1 Br 2.01
O 0.5628 0.1172 0.1906  1 Br 2.01
O 0.5798 0.6125 0.2794  1 Br 1.96
O 0.9202 0.1125 0.7794  1 Br 1.96
O 0.9372 0.6172 0.6906  1 Br 2.01

No. 7
Compound: Pm3Ho13
Source: Alexandria
Functional: PBE
Structure: optimized geometry

Values from the calculation:
For the energy above the most stable polymorph in this dataset, the calculation gives 5 meV/atom. The calculation puts the formation energy at 0.02 eV/atom.

abc: 10.0168 7.0964 7.0964
angles: 89.93 90.00 90.00
With the nearest neighbours (Å) after each atom.
Positions (direct):
Pm 0.0000 0.0000 0.0000  10 Ho 3.53-3.57, 2 Pm 3.56
Pm 0.2508 0.2517 0.2517  11 Ho 3.54-3.56, 1 Pm 3.56
Pm 0.7492 0.2517 0.2517  11 Ho 3.54-3.56, 1 Pm 3.56
Ho 0.0000 0.9996 0.5025  8 Ho 3.53-3.57, 4 Pm 3.53-3.57
Ho 0.0000 0.5024 0.5024  10 Ho 3.53-3.57, 2 Pm 3.56
Ho 0.0000 0.5025 0.9996  8 Ho 3.53-3.57, 4 Pm 3.53-3.57
Ho 0.2510 0.2517 0.7505  9 Ho 3.53-3.56, 3 Pm 3.54-3.56
Ho 0.2512 0.7504 0.7504  11 Ho 3.52-3.56, 1 Pm 3.55
Ho 0.2510 0.7505 0.2517  9 Ho 3.53-3.56, 3 Pm 3.54-3.56
Ho 0.5000 0.9997 0.9997  10 Ho 3.53-3.57, 2 Pm 3.56
Ho 0.5000 0.0001 0.5025  10 Ho 3.53-3.57, 2 Pm 3.55
Ho 0.5000 0.5025 0.0001  10 Ho 3.53-3.57, 2 Pm 3.55
Ho 0.5000 0.5028 0.5028  10 Ho 3.52-3.57, 2 Pm 3.55
Ho 0.7490 0.2517 0.7505  9 Ho 3.53-3.56, 3 Pm 3.54-3.56
Ho 0.7488 0.7504 0.7504  11 Ho 3.52-3.56, 1 Pm 3.55
Ho 0.7490 0.7505 0.2517  9 Ho 3.53-3.56, 3 Pm 3.54-3.56

No. 8
Compound: Ca3Pr12Er
Source: Alexandria
Functional: PBE
Structure: optimized geometry

Values from the calculation:
The calculation puts the formation energy at 0.05 eV/atom.

abc: 5.2530 5.2530 21.0296
angles: 90.00 90.00 90.00
With the nearest neighbours (Å) after each atom.
Positions (direct):
Ca 0.0000 0.0000 0.0000  12 Pr 3.71-3.74
Ca 0.0000 0.0000 0.2525  12 Pr 3.71-3.75
Ca 0.0000 0.0000 0.7475  12 Pr 3.71-3.75
Pr 0.0000 0.5000 0.1263  8 Pr 3.71-3.74, 4 Ca 3.73-3.74
Pr 0.0000 0.5000 0.3798  8 Pr 3.65-3.76, 2 Er 3.65, 2 Ca 3.75
Pr 0.0000 0.5000 0.6202  8 Pr 3.65-3.76, 2 Er 3.65, 2 Ca 3.75
Pr 0.0000 0.5000 0.8737  8 Pr 3.71-3.74, 4 Ca 3.73-3.74
Pr 0.5000 0.0000 0.1263  8 Pr 3.71-3.74, 4 Ca 3.73-3.74
Pr 0.5000 0.0000 0.3798  8 Pr 3.65-3.76, 2 Er 3.65, 2 Ca 3.75
Pr 0.5000 0.0000 0.6202  8 Pr 3.65-3.76, 2 Er 3.65, 2 Ca 3.75
Pr 0.5000 0.0000 0.8737  8 Pr 3.71-3.74, 4 Ca 3.73-3.74
Pr 0.5000 0.5000 0.0000  4 Ca 3.71, 8 Pr 3.74
Pr 0.5000 0.5000 0.2517  4 Ca 3.71, 8 Pr 3.72-3.76
Pr 0.5000 0.5000 0.5000  8 Pr 3.65, 4 Er 3.71
Pr 0.5000 0.5000 0.7483  4 Ca 3.71, 8 Pr 3.72-3.76
Er 0.0000 0.0000 0.5000  12 Pr 3.65-3.71

No. 9
Compound: NaH3Pd
Source: Alexandria
Functional: PBE
Structure: optimized geometry

Values from the calculation:
For the energy above the most stable polymorph in this dataset, the calculation gives 153 meV/atom.

abc: 3.2474 3.2474 10.8728
angles: 90.00 90.00 120.00
With the nearest neighbours (Å) after each atom.
Positions (direct):
Na 0.0000 0.0000 0.0000  6 H 2.16
Na 0.0000 0.0000 0.5000  6 H 2.16
H 0.0000 0.0000 0.2500  3 Pd 1.87
H 0.0000 0.0000 0.7500  3 Pd 1.87
H 0.3333 0.6667 0.0986  1 Pd 1.65
H 0.3333 0.6667 0.4014  1 Pd 1.65
H 0.6667 0.3333 0.5986  1 Pd 1.65
H 0.6667 0.3333 0.9014  1 Pd 1.65
Pd 0.3333 0.6667 0.2500  2 H 1.65
Pd 0.6667 0.3333 0.7500  2 H 1.65

No. 10
Compound: Pu2AuN
Source: Alexandria
Functional: PBE
Structure: optimized geometry

Values from the calculation:
The value obtained for the formation energy (no corrections) is -46.8 kJ per mole of atoms.

abc: 3.1336 3.1336 7.4835
angles: 90.00 90.00 90.00
With the nearest neighbours (Å) after each atom.
Positions (direct):
Pu 0.0000 0.0000 0.1904  4 N 2.63, 1 Pu 2.85
Pu 0.0000 0.0000 0.8096  4 N 2.63, 1 Pu 2.85
Au 0.5000 0.5000 0.5000  4 Au 3.13, 8 Pu 3.21
N 0.5000 0.5000 0.0000  8 Pu 2.63

No. 11
Compound: AlTl2Sb
Source: Alexandria
Functional: PBE
Structure: optimized geometry

Values from the calculation:
The value obtained for the formation energy (no corrections) is 21.0 kJ per mole of atoms. For the energy above the most stable polymorph in this dataset, the calculation gives 139 meV/atom.

abc: 3.4179 5.1018 6.3550
angles: 90.00 100.12 90.00
With the nearest neighbours (Å) after each atom.
Positions (direct):
Al 0.0000 0.0000 0.0000  4 Tl 3.13, 2 Sb 3.33, 2 Al 3.42
Tl 0.2175 0.5000 0.7591  2 Al 3.13, 2 Sb 3.27, 4 Tl 3.32-3.42
Tl 0.7825 0.5000 0.2409  2 Al 3.13, 2 Sb 3.27, 4 Tl 3.32-3.42
Sb 0.5000 0.0000 0.5000  4 Tl 3.27, 2 Al 3.33, 2 Sb 3.42

No. 12
Compound: CsTl2Sb2
Source: Alexandria
Functional: PBE
Structure: optimized geometry

Values from the calculation:
The value obtained for the formation energy (no corrections) is -20.1 kJ per mole of atoms. For the energy above the most stable polymorph in this dataset, the calculation gives 0 meV/atom.

abc: 7.5011 7.5011 7.5011
angles: 137.05 137.05 62.36
With the nearest neighbours (Å) after each atom.
Positions (direct):
Cs 0.0000 0.0000 0.0000  8 Sb 4.15, 8 Tl 4.22
Tl 0.2500 0.7500 0.5000  4 Sb 3.25
Tl 0.7500 0.2500 0.5000  4 Sb 3.25
Sb 0.3857 0.3857 0.0000  1 Sb 2.93, 4 Tl 3.25
Sb 0.6143 0.6143 0.0000  1 Sb 2.93, 4 Tl 3.25